Computed, not measured: a geometry-optimized NaScSnBi structure at the GGA-PBE level of DFT.

a b c (Å): 5.2791 5.2791 5.2791
angles (deg): 60.00 60.00 60.00
Positions (direct):
1 Na 0.0000 0.0000 0.0000
2 Sc 0.5000 0.5000 0.5000
3 Sn 0.7500 0.7500 0.7500
4 Bi 0.2500 0.2500 0.2500

Output
Energy of formation from the pure elements, eV/atom: -0.253
Fermi-level density of states, states/eV per cell: 4.43
Total moment, Bohr magnetons per cell: 0.3

=====

Computed, not measured: a geometry-optimized NaScTc2Bi structure at the GGA-PBE level of DFT.

a b c (Å): 5.1282 5.1282 5.4504
angles (deg): 90.00 90.00 90.00
Positions (direct):
1 Na 0.0000 0.0000 0.0000
2 Sc 0.5000 0.5000 0.0000
3 Tc 0.0000 0.5000 0.5000
4 Tc 0.5000 0.0000 0.5000
5 Bi 0.5000 0.5000 0.5000

Output
Energy of formation from the pure elements, eV/atom: 1.478
Fermi-level density of states, states/eV per cell: 3.67
Total moment, Bohr magnetons per cell: 2.6

=====

Computed, not measured: a geometry-optimized Na3ScBi2Te6 structure at the GGA-PBE level of DFT.

a b c (Å): 7.6890 7.6890 7.9902
angles (deg): 99.26 99.26 120.07
Positions (direct):
1 Na 0.0000 0.0000 0.0000
2 Na 0.3222 0.6778 0.0000
3 Na 0.6778 0.3222 0.0000
4 Sc 0.5000 0.5000 0.5000
5 Bi 0.1648 0.8352 0.5000
6 Bi 0.8352 0.1648 0.5000
7 Te 0.1080 0.4242 0.2716
8 Te 0.2619 0.2619 0.7315
9 Te 0.4242 0.1080 0.2716
10 Te 0.5758 0.8920 0.7284
11 Te 0.7381 0.7381 0.2685
12 Te 0.8920 0.5758 0.7284

Output
Fermi-level density of states, states/eV per cell: 0.00
Formation energy from raw total energies, eV per atom: -0.754
Total moment, Bohr magnetons per cell: 0.0

=====

Computed, not measured: a geometry-optimized Na3ScBi3Te8 structure at the GGA-PBE level of DFT.

a b c (Å): 8.8106 8.8106 9.3728
angles (deg): 118.33 118.33 59.66
Positions (direct):
1 Na 0.0000 0.0000 0.0000
2 Na 0.0000 0.5000 0.0000
3 Na 0.5000 0.0000 0.0000
4 Sc 0.0000 0.0000 0.5000
5 Bi 0.0000 0.5000 0.5000
6 Bi 0.5000 0.0000 0.5000
7 Bi 0.5000 0.5000 0.5000
8 Te 0.2306 0.2306 0.7224
9 Te 0.2306 0.7615 0.7225
10 Te 0.2385 0.7694 0.2775
11 Te 0.2542 0.2542 0.2624
12 Te 0.7458 0.7458 0.7376
13 Te 0.7615 0.2306 0.7225
14 Te 0.7694 0.2385 0.2775
15 Te 0.7694 0.7694 0.2776

Output
Fermi-level density of states, states/eV per cell: 12.20
Formation energy from raw total energies, eV per atom: -0.589
Total moment, Bohr magnetons per cell: 0.0

=====

Computed, not measured: a geometry-optimized Na2Sc2Bi2Te structure at the GGA-PBE level of DFT.

a b c (Å): 9.0476 9.0476 9.0476
angles (deg): 145.47 145.47 49.63
Positions (direct):
1 Na 0.1919 0.1919 0.0000
2 Na 0.8081 0.8081 0.0000
3 Sc 0.0000 0.5000 0.5000
4 Sc 0.5000 0.0000 0.5000
5 Bi 0.3855 0.3855 0.0000
6 Bi 0.6145 0.6145 0.0000
7 Te 0.0000 0.0000 0.0000

Output
Fermi-level density of states, states/eV per cell: 1.69
Formation energy from raw total energies, eV per atom: -0.504
Total moment, Bohr magnetons per cell: 0.0

=====

Computed, not measured: a geometry-optimized Na3Sc3BiTe8 structure at the GGA-PBE level of DFT.

a b c (Å): 8.4752 8.4752 9.0717
angles (deg): 118.08 118.08 59.70
Positions (direct):
1 Na 0.0000 0.0000 0.0000
2 Na 0.0000 0.5000 0.0000
3 Na 0.5000 0.0000 0.0000
4 Sc 0.0000 0.5000 0.5000
5 Sc 0.5000 0.0000 0.5000
6 Sc 0.5000 0.5000 0.5000
7 Bi 0.0000 0.0000 0.5000
8 Te 0.2537 0.2537 0.7286
9 Te 0.2538 0.7212 0.7285
10 Te 0.2596 0.2596 0.2791
11 Te 0.2788 0.7462 0.2715
12 Te 0.7212 0.2538 0.7285
13 Te 0.7404 0.7404 0.7209
14 Te 0.7462 0.2788 0.2715
15 Te 0.7463 0.7463 0.2714

Output
Fermi-level density of states, states/eV per cell: 8.45
Formation energy from raw total energies, eV per atom: -0.955
Total moment, Bohr magnetons per cell: 0.0

=====

Computed, not measured: a geometry-optimized NaScTlBi2 structure at the GGA-PBE level of DFT.

a b c (Å): 5.6539 5.6539 5.7339
angles (deg): 90.00 90.00 90.00
Positions (direct):
1 Na 0.0000 0.0000 0.0000
2 Sc 0.5000 0.5000 0.5000
3 Tl 0.5000 0.5000 0.0000
4 Bi 0.0000 0.5000 0.5000
5 Bi 0.5000 0.0000 0.5000

Output
Energy of formation from the pure elements, eV/atom: -0.069
Fermi-level density of states, states/eV per cell: 3.01
Total moment, Bohr magnetons per cell: 0.0

=====

Computed, not measured: a geometry-optimized NaScTlBi structure at the GGA-PBE level of DFT.

a b c (Å): 5.3059 5.3059 5.3059
angles (deg): 60.00 60.00 60.00
Positions (direct):
1 Na 0.0000 0.0000 0.0000
2 Sc 0.5000 0.5000 0.5000
3 Tl 0.7500 0.7500 0.7500
4 Bi 0.2500 0.2500 0.2500

Output
Energy of formation from the pure elements, eV/atom: -0.200
Fermi-level density of states, states/eV per cell: 4.13
Total moment, Bohr magnetons per cell: 0.0

=====

Computed, not measured: a geometry-optimized NaScBiW2 structure at the GGA-PBE level of DFT.

a b c (Å): 4.8032 4.8032 5.2221
angles (deg): 90.00 90.00 90.00
Positions (direct):
1 Na 0.0000 0.0000 0.0000
2 Sc 0.0000 0.0000 0.5000
3 Bi 0.5000 0.5000 0.0000
4 W 0.0000 0.5000 0.5000
5 W 0.5000 0.0000 0.5000

Output
Energy of formation from the pure elements, eV/atom: 1.899
Fermi-level density of states, states/eV per cell: 5.87
Total moment, Bohr magnetons per cell: 1.5

=====

Computed, not measured: a geometry-optimized NaBi2Se3 structure at the GGA-PBE level of DFT.

a b c (Å): 8.2770 8.2770 10.8377
angles (deg): 106.87 106.87 29.13
Positions (direct):
1 Na 0.0000 0.0000 0.0000
2 Na 0.5000 0.5000 0.5000
3 Bi 0.1607 0.1607 0.8291
4 Bi 0.3299 0.3299 0.6696
5 Bi 0.6701 0.6701 0.3304
6 Bi 0.8393 0.8393 0.1709
7 Se 0.1485 0.1485 0.5165
8 Se 0.1965 0.1965 0.1219
9 Se 0.4727 0.4727 0.2033
10 Se 0.5273 0.5273 0.7967
11 Se 0.8035 0.8035 0.8781
12 Se 0.8515 0.8515 0.4835

Output
Relative energy among the computed polymorphs, meV/atom: 0
Fermi-level density of states, states/eV per cell: 2.34
Formation energy from raw total energies, eV per atom: -0.515
Total moment, Bohr magnetons per cell: 0.0

=====

Final energy values, unit eV/atom, following the record order: -4.136 -4.974 -3.829 -3.727 -4.247 -4.420 -3.625 -3.674 -5.588 -3.771.